Arrangement 1

This record from Alexandria describes TaReTe2 at its PBEsol-relaxed geometry. The functional is meta-GGA SCAN.

a b c (Å): 3.3706 4.7357 6.6863
angles (deg): 99.12 90.00 110.85
Last column: nearest neighbours and their distance in Å.
Fractional positions:
1 Te 0.2339 0.4677 0.6505  2 Ta 2.84, 3 Re 2.88-2.97
2 Ta 0.7632 0.5264 0.3176  3 Re 2.59-2.69, 3 Te 2.84-2.86
3 Te 0.0183 0.0366 0.1051  2 Re 2.79, 3 Ta 2.86-2.92
4 Re 0.4846 0.9693 0.4268  3 Ta 2.59-2.69, 3 Te 2.79-2.88

**SG**: Cm (8)
**Total moment**: 0.00 μB/cell
**ρ**: 10.5 g/cm³

Arrangement 2

This record from Alexandria describes TaReTe2 at its PBEsol-relaxed geometry. The functional is meta-GGA SCAN.

a b c (Å): 3.1921 3.1921 8.7560
angles (deg): 79.50 79.50 60.00
Last column: nearest neighbours and their distance in Å.
Fractional positions:
1 Te 0.7533 0.7533 0.7401  3 Re 2.76, 3 Ta 2.89
2 Te 0.2467 0.2467 0.2599  3 Re 2.76, 3 Ta 2.89
3 Re 0.5000 0.5000 0.5000  6 Te 2.76
4 Ta 0.0000 0.0000 0.0000  6 Te 2.89, 6 Ta 3.19

**SG**: R-3m (166)
**Total moment**: 0.00 μB/cell
**ρ**: 13.7 g/cm³

It is arrangement 1 that is most stable; the runner-up trails by 397 meV per atom.

Arrangement 1

This record from Alexandria describes TaTlRe2 at its PBEsol-relaxed geometry. The functional is meta-GGA SCAN.

a b c (Å): 3.0371 4.9168 4.9248
angles (deg): 103.21 90.00 107.99
Last column: nearest neighbours and their distance in Å.
Fractional positions:
1 Re 0.2654 0.5308 0.2789  3 Ta 2.68-2.94, 2 Re 2.73, 3 Tl 2.85-2.95
2 Re 0.7346 0.4692 0.7211  3 Ta 2.68-2.94, 2 Re 2.73, 3 Tl 2.85-2.95
3 Tl 0.5000 0.0000 0.0000  6 Re 2.85-2.95, 4 Ta 2.89, 2 Tl 3.04
4 Ta 0.0000 0.0000 0.5000  6 Re 2.68-2.94, 4 Tl 2.89

**SG**: C2/m (12)
**Total moment**: 0.00 μB/cell
**ρ**: 18.5 g/cm³

Arrangement 2

This record from Alexandria describes TaTlRe2 at its PBEsol-relaxed geometry. The functional is meta-GGA SCAN.

a b c (Å): 4.5540 4.5540 4.5540
angles (deg): 60.00 60.00 60.00
Last column: nearest neighbours and their distance in Å.
Fractional positions:
1 Ta 0.0000 0.0000 0.0000  8 Re 2.79
2 Tl 0.5000 0.5000 0.5000  8 Re 2.79
3 Re 0.7500 0.7500 0.7500  4 Ta 2.79, 4 Tl 2.79
4 Re 0.2500 0.2500 0.2500  4 Tl 2.79, 4 Ta 2.79

**SG**: Fm-3m (225)
**Total moment**: 0.00 μB/cell
**ρ**: 18.8 g/cm³

Arrangement 3

This record from Alexandria describes TaTlRe2 at its PBEsol-relaxed geometry. The functional is meta-GGA SCAN.

a b c (Å): 4.5601 4.5601 4.5601
angles (deg): 60.00 60.00 60.00
Last column: nearest neighbours and their distance in Å.
Fractional positions:
1 Re 0.7500 0.7500 0.7500  4 Re 2.79, 4 Ta 2.79
2 Ta 0.5000 0.5000 0.5000  4 Re 2.79, 4 Tl 2.79
3 Tl 0.2500 0.2500 0.2500  4 Ta 2.79, 4 Re 2.79
4 Re 0.0000 0.0000 0.0000  4 Tl 2.79, 4 Re 2.79

**SG**: F-43m (216)
**Total moment**: 0.00 μB/cell
**ρ**: 18.8 g/cm³

It is arrangement 1 that is most stable; the runner-up trails by 34 meV per atom.

Arrangement 1

This record from Alexandria describes YTa2Re at its PBEsol-relaxed geometry. The functional is meta-GGA SCAN.

a b c (Å): 2.8926 2.8926 9.6556
angles (deg): 90.00 90.00 112.15
Last column: nearest neighbours and their distance in Å.
Fractional positions:
1 Re 0.5000 0.5000 0.0000  4 Ta 2.64, 4 Re 2.89
2 Ta 0.0000 0.0000 0.7834  2 Re 2.64, 4 Ta 2.89
3 Ta 0.0000 0.0000 0.2166  2 Re 2.64, 4 Ta 2.89
4 Y 0.5000 0.5000 0.5000  6 Y 2.89-3.23, 4 Ta 3.18

**SG**: Cmmm (65)
**Total moment**: 0.00 μB/cell
**ρ**: 14.1 g/cm³

Arrangement 2

This record from Alexandria describes YTa2Re at its PBEsol-relaxed geometry. The functional is meta-GGA SCAN.

a b c (Å): 3.2152 4.8647 5.6378
angles (deg): 115.56 106.57 90.00
Last column: nearest neighbours and their distance in Å.
Fractional positions:
1 Re 0.0000 0.5000 0.0000  4 Ta 2.69, 4 Y 2.92
2 Ta 0.2767 0.2767 0.5535  2 Re 2.69, 4 Ta 2.96
3 Ta 0.7233 0.7233 0.4465  2 Re 2.69, 4 Ta 2.96
4 Y 0.5000 0.0000 0.0000  4 Re 2.92, 8 Ta 3.12-3.25, 2 Y 3.22

**SG**: Immm (71)
**Total moment**: 0.00 μB/cell
**ρ**: 14.0 g/cm³

Arrangement 3

This record from Alexandria describes YTa2Re at its PBEsol-relaxed geometry. The functional is meta-GGA SCAN.

a b c (Å): 4.6652 4.6652 4.6652
angles (deg): 60.00 60.00 60.00
Last column: nearest neighbours and their distance in Å.
Fractional positions:
1 Y 0.0000 0.0000 0.0000  8 Ta 2.86
2 Re 0.5000 0.5000 0.5000  8 Ta 2.86
3 Ta 0.2500 0.2500 0.2500  4 Re 2.86, 4 Y 2.86
4 Ta 0.7500 0.7500 0.7500  4 Re 2.86, 4 Y 2.86

**SG**: Fm-3m (225)
**Total moment**: 0.00 μB/cell
**ρ**: 14.7 g/cm³

It is arrangement 2 that is most stable; the runner-up trails by 118 meV per atom.

Arrangement 1

This record from Alexandria describes ZrTaRe at its PBEsol-relaxed geometry. The functional is meta-GGA SCAN.

a b c (Å): 3.2238 3.2238 5.5583
angles (deg): 106.86 106.86 90.00
Last column: nearest neighbours and their distance in Å.
Fractional positions:
1 Ta 0.6519 0.6519 0.3037  4 Re 2.70, 4 Zr 2.97
2 Re 0.0086 0.0086 0.0171  4 Ta 2.70, 4 Zr 2.85
3 Zr 0.3396 0.3396 0.6792  4 Re 2.85, 5 Ta 2.97-3.17

**SG**: I4mm (107)
**Total moment**: 0.00 μB/cell
**ρ**: 14.4 g/cm³

Arrangement 2

This record from Alexandria describes ZrTaRe at its PBEsol-relaxed geometry. The functional is meta-GGA SCAN.

a b c (Å): 2.9602 4.5096 4.5096
angles (deg): 120.00 90.00 90.00
Last column: nearest neighbours and their distance in Å.
Fractional positions:
1 Zr 0.3199 0.3333 0.6667  3 Re 2.78, 3 Ta 2.83, 2 Zr 2.96
2 Re 0.9890 0.0000 0.0000  3 Ta 2.75, 3 Zr 2.78, 2 Re 2.96
3 Ta 0.6911 0.6667 0.3333  3 Re 2.75, 3 Zr 2.83, 2 Ta 2.96

**SG**: P3m1 (156)
**Total moment**: 0.00 μB/cell
**ρ**: 14.6 g/cm³

Arrangement 3

This record from Alexandria describes ZrTaRe at its PBEsol-relaxed geometry. The functional is meta-GGA SCAN.

a b c (Å): 4.4089 4.4089 4.4089
angles (deg): 60.00 60.00 60.00
Last column: nearest neighbours and their distance in Å.
Fractional positions:
1 Re 0.0000 0.0000 0.0000  4 Zr 2.70
2 Zr 0.2500 0.2500 0.2500  4 Ta 2.70, 4 Re 2.70
3 Ta 0.5000 0.5000 0.5000  4 Zr 2.70

**SG**: F-43m (216)
**Total moment**: 0.00 μB/cell
**ρ**: 12.6 g/cm³

It is arrangement 1 that is most stable; the runner-up trails by 117 meV per atom.

Arrangement 1

This record from Alexandria describes Re2Tc3 at its PBEsol-relaxed geometry. The functional is meta-GGA SCAN.

a b c (Å): 4.8373 5.1947 6.9104
angles (deg): 99.38 110.49 62.25
Last column: nearest neighbours and their distance in Å.
Fractional positions:
1 Tc 0.3697 0.8873 0.8036  5 Re 2.57-2.79, 6 Tc 2.69-2.87
2 Tc 0.5070 0.6127 0.3036  5 Re 2.57-2.79, 6 Tc 2.69-2.87
3 Tc 0.1836 0.5000 0.5000  6 Re 2.60-2.82, 6 Tc 2.69-2.87
4 Tc 0.9336 0.0000 0.0000  6 Re 2.60-2.82, 6 Tc 2.69-2.87
5 Re 0.0396 0.0627 0.3987  8 Tc 2.57-2.82, 2 Re 2.81
6 Tc 0.4534 0.1127 0.1964  5 Re 2.57-2.79, 6 Tc 2.69-2.87
7 Re 0.7036 0.9373 0.6013  8 Tc 2.57-2.82, 2 Re 2.81
8 Re 0.3523 0.4373 0.8987  8 Tc 2.57-2.82, 2 Re 2.81
9 Tc 0.8162 0.3873 0.6964  5 Re 2.57-2.79, 6 Tc 2.69-2.87
10 Re 0.8910 0.5627 0.1013  8 Tc 2.57-2.82, 2 Re 2.81

**SG**: Fdd2 (43)
**Total moment**: 0.00 μB/cell
**ρ**: 15.4 g/cm³

Arrangement 2

This record from Alexandria describes Re2Tc3 at its PBEsol-relaxed geometry. The functional is meta-GGA SCAN.

a b c (Å): 2.7251 2.7251 11.2166
angles (deg): 83.02 83.02 60.00
Last column: nearest neighbours and their distance in Å.
Fractional positions:
1 Re 0.6000 0.6000 0.2000  6 Tc 2.72-2.74, 6 Re 2.73
2 Re 0.4000 0.4000 0.8000  6 Tc 2.72-2.74, 6 Re 2.73
3 Tc 0.8006 0.8006 0.5981  9 Tc 2.69-2.73, 3 Re 2.74
4 Tc 0.1994 0.1994 0.4019  9 Tc 2.69-2.73, 3 Re 2.74
5 Tc 0.0000 0.0000 0.0000  6 Re 2.72, 6 Tc 2.73

**SG**: R-3m (166)
**Total moment**: 0.00 μB/cell
**ρ**: 15.5 g/cm³

It is arrangement 1 that is most stable; the runner-up trails by 7 meV per atom.